1.
## BaSiSe2 (GGA-PBE)

Data for crystalline BaSiSe2 at its relaxed geometry.

Cell and atoms, written as extended XYZ:
```
4
Lattice="-0.880 -3.590 0.790 1.501 -0.943 -3.339 6.525 -0.898 3.188" Properties=species:S:1:pos:R:3 pbc="T T T"
Se 0.201 -0.028 0.098
Se 3.062 -0.422 1.496
Ba 5.205 -2.940 1.117
Si 1.942 -2.491 -0.477
```

- Relative energy among the computed polymorphs: 495 meV/atom
- Total energy: -16.34 eV/cell
- Calculated density: 5.1 g/cm3
- SG: Cmmm



2.
## Ba2SiSe4 (GGA-PBE)

Data for crystalline Ba2SiSe4 at its relaxed geometry.

Cell and atoms, written as extended XYZ:
```
14
Lattice="7.117 0.000 0.000 0.000 7.065 -0.017 0.000 2.966 8.823" Properties=species:S:1:pos:R:3 pbc="T T T"
Se 0.026 9.328 6.792
Se 5.338 3.867 3.993
Se 1.779 4.581 1.229
Se 1.779 6.164 4.812
Se 5.338 5.450 7.577
Se 7.091 0.703 2.014
Se 3.585 0.703 2.014
Se 3.532 9.328 6.792
Ba 5.338 7.158 4.788
Ba 1.779 2.873 4.018
Ba 1.779 4.739 8.173
Ba 5.338 5.292 0.633
Si 5.338 3.557 6.270
Si 1.779 6.473 2.536
```

- Relative energy among the computed polymorphs: 0 meV/atom
- Total energy: -66.85 eV/cell
- Calculated density: 4.6 g/cm3
- SG: P2_1/m



3.
## BaSiSe2 (GGA-PBE)

Data for crystalline BaSiSe2 at its relaxed geometry.

Cell and atoms, written as extended XYZ:
```
4
Lattice="-2.523 -5.372 2.280 0.432 -6.327 -0.454 3.242 0.133 3.456" Properties=species:S:1:pos:R:3 pbc="T T T"
Se 0.599 -8.162 3.497
Se 0.085 -0.015 0.097
Si 1.162 -5.895 3.314
Ba -0.119 -3.277 1.015
```

- Relative energy among the computed polymorphs: 0 meV/atom
- Total energy: -18.32 eV/cell
- Calculated density: 4.6 g/cm3
- SG: Cm



4.
## BaSi3Se (GGA-PBE)

Data for crystalline BaSi3Se at its relaxed geometry.

Cell and atoms, written as extended XYZ:
```
5
Lattice="-2.441 4.340 1.224 -4.241 -1.736 -2.302 -1.534 -2.108 4.415" Properties=species:S:1:pos:R:3 pbc="T T T"
Si -2.120 -0.868 -1.151
Si -0.767 -1.054 2.208
Si -1.221 2.170 0.612
Se 0.000 0.000 0.000
Ba -4.108 0.248 1.669
```

- Relative energy among the computed polymorphs: 0 meV/atom
- Total energy: -19.40 eV/cell
- Calculated density: 3.7 g/cm3
- SG: Pm-3m



5.
## Ba3SiSe (GGA-PBE)

Data for crystalline Ba3SiSe at its relaxed geometry.

Cell and atoms, written as extended XYZ:
```
5
Lattice="6.151 0.000 0.000 0.000 6.151 0.000 0.000 0.000 6.151" Properties=species:S:1:pos:R:3 pbc="T T T"
Ba 0.000 0.000 3.075
Ba 0.000 3.075 0.000
Ba 3.075 0.000 0.000
Si 3.075 3.075 3.075
Se 0.000 0.000 0.000
```

- Relative energy among the computed polymorphs: 0 meV/atom
- Total energy: -17.45 eV/cell
- Calculated density: 3.7 g/cm3
- SG: Pm-3m



6.
## BaSiSnSe4 (GGA-PBE)

Data for crystalline BaSiSnSe4 at its relaxed geometry.

Cell and atoms, written as extended XYZ:
```
14
Lattice="7.131 0.000 -0.010 0.000 7.030 0.000 -2.806 0.000 8.401" Properties=species:S:1:pos:R:3 pbc="T T T"
Se -0.609 3.463 2.161
Se 1.334 5.273 4.795
Se -0.609 0.052 2.161
Se 1.812 1.758 7.222
Se 4.934 6.978 6.230
Se 2.991 1.758 3.596
Se 4.934 3.567 6.230
Se 2.513 5.273 1.169
Ba 2.588 5.273 7.892
Ba 1.737 1.758 0.500
Si 0.710 5.273 2.585
Si 3.616 1.758 5.807
Sn 4.049 5.273 3.934
Sn 0.276 1.758 4.457
```

- Total energy: -63.56 eV/cell
- Calculated density: 4.7 g/cm3
- SG: P2_1/m